NaSr2RhO5 | PBE | relaxed

```
9
Lattice="3.8941 0.0000 0.0000 0.0000 6.0586 0.0000 -1.9471 -3.0293 5.7954" Properties=species:S:1:pos:R:3 pbc="T T T"
Na 0.0000 3.0293 0.0000
Sr 0.0000 0.0000 2.5218
Sr 1.9471 3.0293 3.2736
Rh 1.9471 0.0000 0.0000
O 1.9471 4.6843 1.4757
O 0.0000 -1.6550 4.3198
O 0.0000 1.6550 4.3198
O 1.9471 1.3743 1.4757
O 0.0000 0.0000 0.0000
```

Calculated values
Uncorrected formation energy   -1707 meV per atom
Space group   Immm (71)